The following is a PBE-GGA calculation of AgHgIr after structural relaxation, from Alexandria via LeMat-Bulk.

Results
ΔE to the lowest computed polymorph   37.4 meV per atom
Energy relative to the elements   0.45 eV per atom

CIF file:
```
data_AgHgIr
_chemical_formula_sum 'Ag4 Hg4 Ir4'
_symmetry_space_group_name_H-M 'F m m 2'
_symmetry_Int_Tables_number 42
_symmetry_space_group_name_Hall 'F 2 -2'
_cell_length_a 2.966
_cell_length_b 4.910
_cell_length_c 14.618
_cell_angle_alpha 90.00
_cell_angle_beta 90.00
_cell_angle_gamma 90.00
loop_
_atom_site_label
_atom_site_type_symbol
_atom_site_fract_x
_atom_site_fract_y
_atom_site_fract_z
_atom_site_occupancy
Ag1 Ag 0.000 0.000 0.000 1
Hg1 Hg 0.000 0.000 0.326 1
Ir1 Ir 0.000 0.000 0.661 1
```